# 1
# CoRu2W | Alexandria | PBE | relaxed
# Calculated formation energy ... -0.026 eV/atom
# Symmetry ... P4/mmm
# Polymorph energy (0 for the lowest one) ... 0 meV per atom
data_CoRu2W
_cell_length_a 3.804
_cell_length_b 3.804
_cell_length_c 3.749
_cell_angle_alpha 90.00
_cell_angle_beta 90.00
_cell_angle_gamma 90.00
_symmetry_space_group_name_H-M 'P 1'
_symmetry_Int_Tables_number 1
_symmetry_space_group_name_Hall 'P 1'
loop_
_atom_site_label
_atom_site_fract_x
_atom_site_fract_y
_atom_site_fract_z
_atom_site_occupancy
Co1 0.000 0.000 0.000 1
Ru1 0.000 0.500 0.500 1
Ru2 0.500 0.000 0.500 1
W1 0.500 0.500 0.000 1

# 2
# HfS2Cl | Alexandria | PBE | relaxed
# Symmetry ... Fm-3m
# Polymorph energy (0 for the lowest one) ... 565 meV per atom
# Uncorrected formation energy ... -0.4434 eV/atom
data_HfS2Cl
_cell_length_a 4.619
_cell_length_b 4.619
_cell_length_c 4.619
_cell_angle_alpha 60.00
_cell_angle_beta 60.00
_cell_angle_gamma 60.00
_symmetry_space_group_name_H-M 'P 1'
_symmetry_Int_Tables_number 1
_symmetry_space_group_name_Hall 'P 1'
loop_
_atom_site_label
_atom_site_fract_x
_atom_site_fract_y
_atom_site_fract_z
_atom_site_occupancy
Hf1 0.000 0.000 0.000 1
S1 0.250 0.250 0.250 1
S2 0.750 0.750 0.750 1
Cl1 0.500 0.500 0.500 1

# 3
# LaY3Al8 | Alexandria | PBE | relaxed
# Calculated formation energy ... -0.503 eV/atom
# Symmetry ... P3m1
# Polymorph energy (0 for the lowest one) ... 9 meV per atom
data_LaY3Al8
_cell_length_a 5.601
_cell_length_b 5.601
_cell_length_c 9.250
_cell_angle_alpha 90.00
_cell_angle_beta 90.00
_cell_angle_gamma 120.00
_symmetry_space_group_name_H-M 'P 1'
_symmetry_Int_Tables_number 1
_symmetry_space_group_name_Hall 'P 1'
loop_
_atom_site_label
_atom_site_fract_x
_atom_site_fract_y
_atom_site_fract_z
_atom_site_occupancy
La1 0.000 0.000 0.000 1
Y1 0.000 0.000 0.363 1
Y2 0.667 0.333 0.498 1
Y3 0.667 0.333 0.863 1
Al1 0.162 0.325 0.678 1
Al2 0.162 0.838 0.678 1
Al3 0.333 0.667 0.435 1
Al4 0.333 0.667 0.930 1
Al5 0.504 0.009 0.187 1
Al6 0.504 0.496 0.187 1
Al7 0.675 0.838 0.678 1
Al8 0.991 0.496 0.187 1

# 4
# BeGe2PIr | Alexandria | PBE | relaxed
# Calculated formation energy ... 0.797 eV/atom
# Symmetry ... P4/mmm
data_BeGe2PIr
_cell_length_a 4.780
_cell_length_b 4.780
_cell_length_c 3.743
_cell_angle_alpha 90.00
_cell_angle_beta 90.00
_cell_angle_gamma 90.00
_symmetry_space_group_name_H-M 'P 1'
_symmetry_Int_Tables_number 1
_symmetry_space_group_name_Hall 'P 1'
loop_
_atom_site_label
_atom_site_fract_x
_atom_site_fract_y
_atom_site_fract_z
_atom_site_occupancy
Be1 0.000 0.000 0.000 1
Ge1 0.000 0.500 0.500 1
Ge2 0.500 0.000 0.500 1
P1 0.000 0.000 0.500 1
Ir1 0.500 0.500 0.000 1

# 5
# MgHOsPt2 | Alexandria | PBE | relaxed
# Symmetry ... P4/mmm
data_MgHOsPt2
_cell_length_a 4.968
_cell_length_b 4.968
_cell_length_c 2.872
_cell_angle_alpha 90.00
_cell_angle_beta 90.00
_cell_angle_gamma 90.00
_symmetry_space_group_name_H-M 'P 1'
_symmetry_Int_Tables_number 1
_symmetry_space_group_name_Hall 'P 1'
loop_
_atom_site_label
_atom_site_fract_x
_atom_site_fract_y
_atom_site_fract_z
_atom_site_occupancy
Mg1 0.000 0.000 0.000 1
H1 0.000 0.000 0.500 1
Os1 0.500 0.500 0.500 1
Pt1 0.000 0.500 0.000 1
Pt2 0.500 0.000 0.000 1

# 6
# CaP2Br | Alexandria | PBE | relaxed
# Symmetry ... R3m
# Polymorph energy (0 for the lowest one) ... 84 meV per atom
# Uncorrected formation energy ... -0.7487 eV/atom
data_CaP2Br
_cell_length_a 8.627
_cell_length_b 8.627
_cell_length_c 8.627
_cell_angle_alpha 26.15
_cell_angle_beta 26.15
_cell_angle_gamma 26.15
_symmetry_space_group_name_H-M 'P 1'
_symmetry_Int_Tables_number 1
_symmetry_space_group_name_Hall 'P 1'
loop_
_atom_site_label
_atom_site_fract_x
_atom_site_fract_y
_atom_site_fract_z
_atom_site_occupancy
Ca1 0.000 0.000 0.000 1
P1 0.257 0.257 0.257 1
P2 0.558 0.558 0.558 1
Br1 0.736 0.736 0.736 1

# 7
# AlSe5 | Alexandria | PBE | relaxed
# Symmetry ... P-62m
# Polymorph energy (0 for the lowest one) ... 315 meV per atom
# Uncorrected formation energy ... 0.1424 eV/atom
data_AlSe5
_cell_length_a 6.467
_cell_length_b 6.467
_cell_length_c 3.625
_cell_angle_alpha 90.00
_cell_angle_beta 90.00
_cell_angle_gamma 120.00
_symmetry_space_group_name_H-M 'P 1'
_symmetry_Int_Tables_number 1
_symmetry_space_group_name_Hall 'P 1'
loop_
_atom_site_label
_atom_site_fract_x
_atom_site_fract_y
_atom_site_fract_z
_atom_site_occupancy
Al1 0.000 0.000 0.000 1
Se1 0.000 0.700 0.500 1
Se2 0.300 0.300 0.500 1
Se3 0.333 0.667 0.000 1
Se4 0.667 0.333 0.000 1
Se5 0.700 0.000 0.500 1

# 8
# Ac2Dy3Pb4 | Alexandria | PBE | relaxed
# Calculated formation energy ... -0.594 eV/atom
# Symmetry ... P2_1/c
# Polymorph energy (0 for the lowest one) ... 0 meV per atom
data_Ac2Dy3Pb4
_cell_length_a 8.637
_cell_length_b 8.616
_cell_length_c 8.461
_cell_angle_alpha 90.00
_cell_angle_beta 111.11
_cell_angle_gamma 90.00
_symmetry_space_group_name_H-M 'P 1'
_symmetry_Int_Tables_number 1
_symmetry_space_group_name_Hall 'P 1'
loop_
_atom_site_label
_atom_site_fract_x
_atom_site_fract_y
_atom_site_fract_z
_atom_site_occupancy
Ac1 0.191 0.177 0.059 1
Ac2 0.191 0.323 0.559 1
Ac3 0.809 0.677 0.441 1
Ac4 0.809 0.823 0.941 1
Dy1 0.249 0.658 0.244 1
Dy2 0.249 0.842 0.744 1
Dy3 0.500 0.000 0.500 1
Dy4 0.500 0.500 0.000 1
Dy5 0.751 0.158 0.256 1
Dy6 0.751 0.342 0.756 1
Pb1 0.089 0.547 0.844 1
Pb2 0.089 0.953 0.344 1
Pb3 0.499 0.140 0.860 1
Pb4 0.499 0.360 0.360 1
Pb5 0.501 0.640 0.640 1
Pb6 0.501 0.860 0.140 1
Pb7 0.911 0.047 0.656 1
Pb8 0.911 0.453 0.156 1

# 9
# Pr2Dy2Y6Th | Alexandria | PBE | relaxed
# Calculated formation energy ... 0.143 eV/atom
# Symmetry ... Cmmm
data_Pr2Dy2Y6Th
_cell_length_a 6.679
_cell_length_b 6.679
_cell_length_c 10.725
_cell_angle_alpha 90.00
_cell_angle_beta 90.00
_cell_angle_gamma 129.36
_symmetry_space_group_name_H-M 'P 1'
_symmetry_Int_Tables_number 1
_symmetry_space_group_name_Hall 'P 1'
loop_
_atom_site_label
_atom_site_fract_x
_atom_site_fract_y
_atom_site_fract_z
_atom_site_occupancy
Pr1 0.136 0.864 0.000 1
Pr2 0.864 0.136 0.000 1
Dy1 0.201 0.799 0.500 1
Dy2 0.799 0.201 0.500 1
Y1 0.000 0.000 0.292 1
Y2 0.000 0.000 0.708 1
Y3 0.348 0.652 0.215 1
Y4 0.348 0.652 0.785 1
Y5 0.652 0.348 0.215 1
Y6 0.652 0.348 0.785 1
Th1 0.500 0.500 0.500 1

# 10
# Tm4Ge8Pt | Alexandria | PBE | relaxed
# Calculated formation energy ... -0.632 eV/atom
# Symmetry ... Pmm2
data_Tm4Ge8Pt
_cell_length_a 3.961
_cell_length_b 4.050
_cell_length_c 16.483
_cell_angle_alpha 90.00
_cell_angle_beta 90.00
_cell_angle_gamma 90.00
_symmetry_space_group_name_H-M 'P 1'
_symmetry_Int_Tables_number 1
_symmetry_space_group_name_Hall 'P 1'
loop_
_atom_site_label
_atom_site_fract_x
_atom_site_fract_y
_atom_site_fract_z
_atom_site_occupancy
Tm1 0.000 0.000 0.000 1
Tm2 0.000 0.500 0.479 1
Tm3 0.500 0.000 0.788 1
Tm4 0.500 0.500 0.278 1
Ge1 0.000 0.000 0.322 1
Ge2 0.000 0.000 0.615 1
Ge3 0.000 0.500 0.136 1
Ge4 0.000 0.500 0.860 1
Ge5 0.500 0.000 0.142 1
Ge6 0.500 0.000 0.425 1
Ge7 0.500 0.500 0.614 1
Ge8 0.500 0.500 0.959 1
Pt1 0.000 0.500 0.712 1

# 11
# Ta2CoW | Alexandria | PBE | relaxed
# Calculated formation energy ... 0.092 eV/atom
# Symmetry ... Pm
# Polymorph energy (0 for the lowest one) ... 180 meV per atom
data_Ta2CoW
_cell_length_a 2.783
_cell_length_b 4.510
_cell_length_c 5.169
_cell_angle_alpha 90.00
_cell_angle_beta 99.94
_cell_angle_gamma 90.00
_symmetry_space_group_name_H-M 'P 1'
_symmetry_Int_Tables_number 1
_symmetry_space_group_name_Hall 'P 1'
loop_
_atom_site_label
_atom_site_fract_x
_atom_site_fract_y
_atom_site_fract_z
_atom_site_occupancy
Ta1 0.000 0.000 0.000 1
Ta2 0.269 0.500 0.733 1
Co1 0.511 0.000 0.498 1
W1 0.749 0.500 0.237 1

# 12
# LaZrS2 | Alexandria | PBE | relaxed
# Symmetry ... R-3m
# Uncorrected formation energy ... -1.2924 eV/atom
data_LaZrS2
_cell_length_a 8.951
_cell_length_b 8.951
_cell_length_c 8.951
_cell_angle_alpha 23.88
_cell_angle_beta 23.88
_cell_angle_gamma 23.88
_symmetry_space_group_name_H-M 'P 1'
_symmetry_Int_Tables_number 1
_symmetry_space_group_name_Hall 'P 1'
loop_
_atom_site_label
_atom_site_fract_x
_atom_site_fract_y
_atom_site_fract_z
_atom_site_occupancy
La1 0.000 0.000 0.000 1
Zr1 0.500 0.500 0.500 1
S1 0.109 0.109 0.109 1
S2 0.891 0.891 0.891 1

Number 1: total magnetic moment 0.000 μB per atom, energy -9.6783 eV/atom, mass density 13.61 g/cm³. Number 2: total magnetic moment 0.000 μB per atom, energy -5.4572 eV/atom, mass density 6.63 g/cm³. Number 3: total magnetic moment 0.000 μB per atom, energy -5.0245 eV/atom, mass density 4.11 g/cm³. Number 4: total magnetic moment 0.000 μB per atom, energy -4.6496 eV/atom, mass density 7.33 g/cm³. Number 5: total magnetic moment 0.189 μB per atom, energy -4.9313 eV/atom, mass density 14.19 g/cm³. Number 6: total magnetic moment 0.000 μB per atom, energy -4.3722 eV/atom, mass density 2.75 g/cm³. Number 7: total magnetic moment 0.000 μB per atom, energy -3.3852 eV/atom, mass density 5.33 g/cm³. Number 8: total magnetic moment 0.000 μB per atom, energy -4.6888 eV/atom, mass density 10.01 g/cm³. Number 9: total magnetic moment 0.000 μB per atom, energy -5.7628 eV/atom, mass density 6.16 g/cm³. Number 10: total magnetic moment 0.000 μB per atom, energy -5.3143 eV/atom, mass density 9.12 g/cm³. Number 11: total magnetic moment 0.275 μB per atom, energy -10.8490 eV/atom, mass density 15.71 g/cm³. Number 12: total magnetic moment 0.000 μB per atom, energy -6.7251 eV/atom, mass density 4.73 g/cm³.